Record 1
Material: BaReAs
Method: DFT, SCAN
State: single point on PBEsol structure

## Properties
Its crystal system is hexagonal. The value obtained for the energy above the lowest structure with this stoichiometry is 0 meV per atom.

Cell lengths 4.1767, 4.1767, 5.0966 Å; angles 90.00, 90.00, 120.00 degrees
Element x y z (fractional)
Re1 0.6667 0.3333 0.5000
As1 0.0000 0.0000 0.5000
Ba1 0.3333 0.6667 0.0000

Record 2
Material: BaReAs
Method: DFT, SCAN
State: single point on PBEsol structure

## Properties
Its crystal system is tetragonal. The value obtained for the energy above the lowest structure with this stoichiometry is 87 meV per atom.

Cell lengths 3.3218, 3.3218, 6.4061 Å; angles 105.03, 105.03, 90.00 degrees
Element x y z (fractional)
Re1 0.6268 0.6268 0.2536
As1 0.0440 0.0440 0.0880
Ba1 0.3292 0.3292 0.6585

Record 3
Material: BaRe3As
Method: DFT, SCAN
State: single point on PBEsol structure

## Properties
The calculated total energy is -1.850 Ha/atom. Its crystal system is cubic.

Cell lengths 4.9324, 4.9324, 4.9324 Å; angles 90.00, 90.00, 90.00 degrees
Site moments in Bohr magnetons follow the coordinates.
Element x y z (fractional)
Re1 0.0000 0.5000 0.0000  0.90
Re2 0.0000 0.0000 0.5000  0.90
Re3 0.5000 0.0000 0.0000  0.90
As1 0.5000 0.5000 0.5000  -0.23
Ba1 0.0000 0.0000 0.0000  0.01

Record 4
Material: BaReAsSe2
Method: DFT, SCAN
State: single point on PBEsol structure

## Properties
The formation energy without anion corrections comes out at -2.3 eV per formula unit. Its crystal system is tetragonal.

Cell lengths 4.6998, 5.1204, 5.1204 Å; angles 90.00, 90.00, 90.00 degrees
Site moments in Bohr magnetons follow the coordinates.
Element x y z (fractional)
Re1 0.0000 0.0000 0.0000  1.39
As1 0.5000 0.0000 0.0000  -0.13
Ba1 0.5000 0.5000 0.5000  0.02
Se1 0.0000 0.0000 0.5000  0.07
Se2 0.0000 0.5000 0.0000  0.07

| no. | D(E_F) (states/eV/cell) |
| --- | --- |
| 1 | 1.0 |
| 2 | 1.6 |
| 3 | 5.6 |
| 4 | 2.9 |